# 1
A relaxed TbNi crystal, computed with PBE-GGA.

calculated formation energy	-0.44	eV per atom

a = 7.034 Å, b = 4.239 Å, c = 5.419 Å
α = 90.00°, β = 90.00°, γ = 90.00°
Space group Pnma (No. 62)
One atom of each set of equivalent atoms:
Tb 0.180 0.250 0.133 (multiplicity 4)
Ni 0.037 0.250 0.626 (multiplicity 4)

=====

# 2
A relaxed Tb4Ni crystal, computed with PBE-GGA.

excess energy over the best structure of this formula in the dataset	2.22	kcal/mol of atoms
calculated formation energy	-0.02	eV per atom

a = 5.329 Å, b = 5.329 Å, c = 5.329 Å
α = 90.00°, β = 90.00°, γ = 90.00°
Space group Pm-3m (No. 221)
One atom of each set of equivalent atoms:
Tb 0.000 0.000 0.000 (multiplicity 1)
Tb 0.000 0.500 0.500 (multiplicity 3)
Ni 0.500 0.500 0.500 (multiplicity 1)

=====

# 3
A relaxed TbNi2 crystal, computed with PBE-GGA.

calculated formation energy	-0.43	eV per atom

a = 7.184 Å, b = 7.184 Å, c = 7.184 Å
α = 90.00°, β = 90.00°, γ = 90.00°
Space group Fd-3m (No. 227, origin choice 2)
One atom of each set of equivalent atoms:
Tb 0.125 0.125 0.125 (multiplicity 8)
Ni 0.000 0.000 0.500 (multiplicity 16)

=====

# 4
A relaxed Tb2Ni17 crystal, computed with PBE-GGA.

excess energy over the best structure of this formula in the dataset	0.06	kcal/mol of atoms
calculated formation energy	-0.19	eV per atom

a = 8.2915 Å, b = 8.2915 Å, c = 12.0654 Å
α = 90.00°, β = 90.00°, γ = 120.00°
Space group R-3m (No. 166, hexagonal axes)
One atom of each set of equivalent atoms:
Tb 0.0000 0.0000 0.1602 (multiplicity 6)
Ni 0.0000 0.0000 0.4009 (multiplicity 6)
Ni 0.0000 0.2930 0.5000 (multiplicity 18)
Ni 0.0000 0.5000 0.0000 (multiplicity 9)
Ni 0.0005 0.5003 0.3459 (multiplicity 18)

=====

# 5
A relaxed TbNi3 crystal, computed with PBE-GGA.

calculated formation energy	-0.27	eV per atom

a = 5.6164 Å, b = 5.6164 Å, c = 19.3150 Å
α = 90.00°, β = 90.00°, γ = 120.00°
Space group R-3m (No. 166, hexagonal axes)
One atom of each set of equivalent atoms:
Tb 0.0000 0.0000 0.0000 (multiplicity 3)
Tb 0.0000 0.0000 0.2174 (multiplicity 6)
Ni 0.0000 0.5000 0.0000 (multiplicity 9)
Ni 0.0475 0.5237 0.2244 (multiplicity 18)

=====

# 6
A relaxed Tb2Ni7 crystal, computed with PBE-GGA.

excess energy over the best structure of this formula in the dataset	0.15	kcal/mol of atoms
calculated formation energy	-0.38	eV per atom

a = 4.9443 Å, b = 4.9443 Å, c = 24.1590 Å
α = 90.00°, β = 90.00°, γ = 120.00°
Space group P6_3/mmc (No. 194)
One atom of each set of equivalent atoms:
Tb 0.3333 0.6667 0.0295 (multiplicity 4)
Tb 0.3333 0.6667 0.1742 (multiplicity 4)
Ni 0.0000 0.0000 0.0000 (multiplicity 2)
Ni 0.0000 0.0000 0.1678 (multiplicity 4)
Ni 0.1670 0.3340 0.5858 (multiplicity 12)
Ni 0.1668 0.3337 0.7500 (multiplicity 6)
Ni 0.3333 0.6667 0.6675 (multiplicity 4)